Entry 1:
! V3Se4, optimized geometry, DFT PBE; values from VASP
! E_tot   -0.487 Ry/atom
! Mass density   6.15 g cm⁻³
! Raw formation energy   -0.73 eV per atom
! Symmetry   C2/m (12)
! Energy above the most stable polymorph in this dataset   0.00 kcal/mol of atoms
! DOS at the Fermi energy   3.2 states/eV/cell
&SYSTEM
  ibrav = 0, nat = 7, ntyp = 2
/
ATOMIC_SPECIES
V 50.94 V.upf
Se 78.96 Se.upf
CELL_PARAMETERS angstrom
6.8882 -0.0032 -0.0060
6.0468 3.2989 -0.0060
2.6154 0.6664 5.5649
ATOMIC_POSITIONS crystal
V 0.7446 0.7446 0.3230
V 0.0000 0.0000 0.0000
V 0.2554 0.2554 0.6770
Se 0.3586 0.3586 0.9798
Se 0.6414 0.6414 0.0202
Se 0.1069 0.1069 0.5480
Se 0.8931 0.8931 0.4520

***

Entry 2:
! CrHg2Ir, optimized geometry, DFT PBE; values from VASP
! E_tot   -0.312 Ry/atom
! Mass density   14.94 g cm⁻³
! Symmetry   Cmmm (65)
! Formation energy from the elements   521 meV/atom
! Energy above the most stable polymorph in this dataset   6.90 kcal/mol of atoms
! DOS at the Fermi energy   2.5 states/eV/cell
&SYSTEM
  ibrav = 0, nat = 4, ntyp = 3
/
ATOMIC_SPECIES
Hg 200.59 Hg.upf
Cr 52.00 Cr.upf
Ir 192.22 Ir.upf
CELL_PARAMETERS angstrom
-1.1025 -4.7030 -0.5909
-0.2085 0.7915 4.7972
-3.0427 0.7454 -0.2552
ATOMIC_POSITIONS crystal
Hg 0.0000 0.0000 0.0000
Hg 0.5000 0.5000 0.0000
Cr 0.0000 0.5000 0.5000
Ir 0.5000 0.0000 0.5000

***

Entry 3:
! YPaSi2Ir5, optimized geometry, DFT PBE; values from VASP
! E_tot   -0.628 Ry/atom
! Mass density   12.34 g cm⁻³
! Raw formation energy   -0.64 eV per atom
! Symmetry   P4/mmm (123)
! DOS at the Fermi energy   4.0 states/eV/cell
&SYSTEM
  ibrav = 0, nat = 9, ntyp = 4
/
ATOMIC_SPECIES
Ir 192.22 Ir.upf
Si 28.09 Si.upf
Pa 231.04 Pa.upf
Y 88.91 Y.upf
CELL_PARAMETERS angstrom
4.0009 0.0000 0.0000
0.0000 4.0009 0.0000
0.0000 0.0000 11.2381
ATOMIC_POSITIONS crystal
Ir 0.5000 0.5000 0.5000
Ir 0.0000 0.5000 0.8223
Ir 0.5000 0.0000 0.1777
Ir 0.5000 0.0000 0.8223
Ir 0.0000 0.5000 0.1777
Si 0.5000 0.5000 0.7074
Si 0.5000 0.5000 0.2926
Pa 0.0000 0.0000 0.0000
Y 0.0000 0.0000 0.5000

***

Entry 4:
! TlCrFe4, optimized geometry, DFT PBE; values from VASP
! E_tot   -0.539 Ry/atom
! Mass density   9.70 g cm⁻³
! Symmetry   F-43m (216)
! Formation energy from the elements   303 meV/atom
! DOS at the Fermi energy   5.8 states/eV/cell
&SYSTEM
  ibrav = 0, nat = 6, ntyp = 3
/
ATOMIC_SPECIES
Fe 55.84 Fe.upf
Tl 204.38 Tl.upf
Cr 52.00 Cr.upf
CELL_PARAMETERS angstrom
4.0238 2.4369 1.2942
-0.2636 3.5440 3.3429
1.9413 -0.6716 4.4255
ATOMIC_POSITIONS crystal
Fe 0.6252 0.6252 0.1244
Fe 0.1244 0.6252 0.6252
Fe 0.6252 0.6252 0.6252
Fe 0.6252 0.1244 0.6252
Tl 0.2500 0.2500 0.2500
Cr 0.0000 0.0000 0.0000

***

Entry 5:
! CsGaGe2Mo, optimized geometry, DFT PBE; values from VASP
! E_tot   -0.300 Ry/atom
! Mass density   5.02 g cm⁻³
! Symmetry   P4/mmm (123)
! Formation energy from the elements   708 meV/atom
! DOS at the Fermi energy   3.3 states/eV/cell
&SYSTEM
  ibrav = 0, nat = 5, ntyp = 4
/
ATOMIC_SPECIES
Mo 95.94 Mo.upf
Ge 72.64 Ge.upf
Ga 69.72 Ga.upf
Cs 132.91 Cs.upf
CELL_PARAMETERS angstrom
-0.1244 3.7013 -3.3294
-5.8616 -0.6285 -0.4797
-0.6539 3.2895 3.6813
ATOMIC_POSITIONS crystal
Mo 0.0000 0.0000 0.0000
Ge 0.5000 0.0000 0.0000
Ge 0.0000 0.0000 0.5000
Ga 0.5000 0.5000 0.5000
Cs 0.0000 0.5000 0.0000

***

Entry 6:
! RbTmSn, optimized geometry, DFT PBE; values from VASP
! E_tot   -0.218 Ry/atom
! Mass density   4.99 g cm⁻³
! Symmetry   C2/m (12)
! Formation energy from the elements   178 meV/atom
! DOS at the Fermi energy   3.3 states/eV/cell
&SYSTEM
  ibrav = 0, nat = 6, ntyp = 3
/
ATOMIC_SPECIES
Tm 168.93 Tm.upf
Sn 118.71 Sn.upf
Rb 85.47 Rb.upf
CELL_PARAMETERS angstrom
3.5272 0.0000 0.0000
-1.7636 10.3311 3.6693
0.0000 3.2180 7.9623
ATOMIC_POSITIONS crystal
Tm 0.0193 0.0386 0.2724
Tm 0.9807 0.9614 0.7276
Sn 0.0918 0.1835 0.8239
Sn 0.9082 0.8165 0.1761
Rb 0.7125 0.4249 0.3021
Rb 0.2875 0.5751 0.6979

***

Entry 7:
! La8Ir3RhBr4, optimized geometry, DFT PBE; values from VASP
! E_tot   -0.458 Ry/atom
! Mass density   7.21 g cm⁻³
! Raw formation energy   -1.23 eV per atom
! Symmetry   R-3m (166)
! DOS at the Fermi energy   5.6 states/eV/cell
&SYSTEM
  ibrav = 0, nat = 16, ntyp = 4
/
ATOMIC_SPECIES
La 138.91 La.upf
Br 79.90 Br.upf
Ir 192.22 Ir.upf
Rh 102.91 Rh.upf
CELL_PARAMETERS angstrom
-3.7589 -6.5721 -3.6751
8.2444 -3.0018 -3.0645
-0.7795 1.1959 8.2950
ATOMIC_POSITIONS crystal
La 0.7302 0.6952 0.9627
La 0.7675 0.3048 0.0373
La 0.7675 0.3047 0.5351
La 0.2682 0.3048 0.5364
La 0.7318 0.6952 0.4636
La 0.2698 0.3048 0.0373
La 0.2325 0.6952 0.9627
La 0.2325 0.6953 0.4649
Br 0.5000 0.0000 0.0000
Br 0.0000 0.0000 0.5000
Br 0.5000 0.0000 0.5000
Br 0.0000 0.0000 0.0000
Ir 0.0000 0.5000 0.5000
Ir 0.5000 0.5000 0.0000
Ir 0.5000 0.5000 0.5000
Rh 0.0000 0.5000 0.0000

***

Entry 8:
! Te4MoPb, optimized geometry, DFT PBE; values from VASP
! E_tot   -0.265 Ry/atom
! Mass density   7.37 g cm⁻³
! Raw formation energy   0.91 eV per atom
! Symmetry   F-43m (216)
! DOS at the Fermi energy   4.8 states/eV/cell
&SYSTEM
  ibrav = 0, nat = 6, ntyp = 3
/
ATOMIC_SPECIES
Pb 207.20 Pb.upf
Te 127.60 Te.upf
Mo 95.94 Mo.upf
CELL_PARAMETERS angstrom
0.0000 4.5096 4.5096
4.5096 0.0000 4.5096
4.5096 4.5096 0.0000
ATOMIC_POSITIONS crystal
Pb 0.0000 0.0000 0.0000
Te 0.3756 0.3756 0.8733
Te 0.3756 0.3756 0.3756
Te 0.3756 0.8733 0.3756
Te 0.8733 0.3756 0.3756
Mo 0.7500 0.7500 0.7500

***

Entry 9:
! Na4NpSc3Se8, optimized geometry, DFT PBE; values from VASP
! E_tot   -0.407 Ry/atom
! Mass density   4.68 g cm⁻³
! Raw formation energy   -1.47 eV per atom
! Symmetry   R-3m (166)
! DOS at the Fermi energy   10.2 states/eV/cell
&SYSTEM
  ibrav = 0, nat = 16, ntyp = 4
/
ATOMIC_SPECIES
Na 22.99 Na.upf
Np 237.00 Np.upf
Sc 44.96 Sc.upf
Se 78.96 Se.upf
CELL_PARAMETERS angstrom
8.0207 0.0000 0.0000
0.0000 8.3685 0.2369
-4.0103 -4.0060 5.6743
ATOMIC_POSITIONS crystal
Na 0.0000 0.0000 0.0000
Na 0.5000 0.0000 0.5000
Na 0.5000 0.0000 0.0000
Na 0.0000 0.0000 0.5000
Np 0.0000 0.5000 0.0000
Sc 0.5000 0.5000 0.5000
Sc 0.5000 0.5000 0.0000
Sc 0.0000 0.5000 0.5000
Se 0.7525 0.2768 0.5051
Se 0.7391 0.7173 0.4783
Se 0.7525 0.2768 0.0241
Se 0.2716 0.2768 0.0241
Se 0.2609 0.2827 0.5217
Se 0.2475 0.7232 0.4949
Se 0.2475 0.7232 0.9759
Se 0.7284 0.7232 0.9759

***

Entry 10:
! SnHg, optimized geometry, DFT PBE; values from VASP
! E_tot   -0.156 Ry/atom
! Mass density   9.28 g cm⁻³
! Symmetry   Cmmm (65)
! Formation energy from the elements   36 meV/atom
! DOS at the Fermi energy   2.2 states/eV/cell
&SYSTEM
  ibrav = 0, nat = 4, ntyp = 2
/
ATOMIC_SPECIES
Sn 118.71 Sn.upf
Hg 200.59 Hg.upf
CELL_PARAMETERS angstrom
-2.9946 0.3896 -1.1442
-2.1794 -2.6686 4.7954
-0.3725 5.2982 2.7790
ATOMIC_POSITIONS crystal
Sn 0.5000 0.5000 0.0001
Sn 0.0000 0.0000 0.9999
Hg 0.0000 0.0000 0.4999
Hg 0.5000 0.5000 0.5001

***

Entry 11:
! BaCuSnHg2, optimized geometry, DFT PBE; values from VASP
! E_tot   -0.172 Ry/atom
! Mass density   8.40 g cm⁻³
! Symmetry   P4/mmm (123)
! Formation energy from the elements   -213 meV/atom
! DOS at the Fermi energy   3.4 states/eV/cell
&SYSTEM
  ibrav = 0, nat = 5, ntyp = 4
/
ATOMIC_SPECIES
Ba 137.33 Ba.upf
Cu 63.55 Cu.upf
Hg 200.59 Hg.upf
Sn 118.71 Sn.upf
CELL_PARAMETERS angstrom
-4.4646 -2.6275 0.5628
2.4436 -4.4239 -1.2694
1.1264 -0.8299 5.0606
ATOMIC_POSITIONS crystal
Ba 0.5000 0.5000 0.5000
Cu 0.0000 0.0000 0.0000
Hg 0.5000 0.0000 0.0000
Hg 0.0000 0.5000 0.0000
Sn 0.0000 0.0000 0.5000

***

Entry 12:
! LiTl2Zn2, optimized geometry, DFT PBE; values from VASP
! E_tot   -0.128 Ry/atom
! Mass density   7.87 g cm⁻³
! Symmetry   P4/mbm (127)
! Formation energy from the elements   104 meV/atom
! Energy above the most stable polymorph in this dataset   1.72 kcal/mol of atoms
! DOS at the Fermi energy   3.2 states/eV/cell
&SYSTEM
  ibrav = 0, nat = 10, ntyp = 3
/
ATOMIC_SPECIES
Li 6.94 Li.upf
Zn 65.41 Zn.upf
Tl 204.38 Tl.upf
CELL_PARAMETERS angstrom
8.0376 0.0000 0.0000
0.0000 8.0376 0.0000
0.0000 0.0000 3.5704
ATOMIC_POSITIONS crystal
Li 0.0000 0.0000 0.0000
Li 0.5000 0.5000 0.0000
Zn 0.6247 0.8753 0.5000
Zn 0.8753 0.3753 0.5000
Zn 0.1247 0.6247 0.5000
Zn 0.3753 0.1247 0.5000
Tl 0.8278 0.6722 0.0000
Tl 0.1722 0.3278 0.0000
Tl 0.3278 0.8278 0.0000
Tl 0.6722 0.1722 0.0000

***

Entry 13:
! FeCoTcNi, optimized geometry, DFT PBE; values from VASP
! E_tot   -0.570 Ry/atom
! Mass density   9.46 g cm⁻³
! Symmetry   F-43m (216)
! Formation energy from the elements   176 meV/atom
! DOS at the Fermi energy   5.8 states/eV/cell
&SYSTEM
  ibrav = 0, nat = 4, ntyp = 4
/
ATOMIC_SPECIES
Co 58.93 Co.upf
Tc 98.00 Tc.upf
Fe 55.84 Fe.upf
Ni 58.69 Ni.upf
CELL_PARAMETERS angstrom
-1.0683 -3.6192 -1.5218
1.8866 -1.4577 -3.2973
2.5239 -3.1737 0.3366
ATOMIC_POSITIONS crystal
Co 0.2500 0.2500 0.2500
Tc 0.5000 0.5000 0.5000
Fe 0.7500 0.7500 0.7500
Ni 0.0000 0.0000 0.0000

***

Entry 14:
! Zn2AgOs, optimized geometry, DFT PBE; values from VASP
! E_tot   -0.279 Ry/atom
! Mass density   11.66 g cm⁻³
! Symmetry   Immm (71)
! Formation energy from the elements   357 meV/atom
! Energy above the most stable polymorph in this dataset   5.63 kcal/mol of atoms
! DOS at the Fermi energy   1.9 states/eV/cell
&SYSTEM
  ibrav = 0, nat = 4, ntyp = 3
/
ATOMIC_SPECIES
Ag 107.87 Ag.upf
Zn 65.41 Zn.upf
Os 190.23 Os.upf
CELL_PARAMETERS angstrom
5.2208 0.0815 0.1151
2.1839 4.7428 -0.1151
-3.0705 -3.3819 2.5321
ATOMIC_POSITIONS crystal
Ag 0.7500 0.2500 0.5000
Zn 0.0049 0.0049 0.0000
Zn 0.4951 0.4951 0.0000
Os 0.2500 0.7500 0.5000

***

Entry 15:
! RePdS2N, optimized geometry, DFT PBE; values from VASP
! E_tot   -0.469 Ry/atom
! Mass density   7.35 g cm⁻³
! Raw formation energy   0.47 eV per atom
! Symmetry   P4/mmm (123)
! Energy above the most stable polymorph in this dataset   0.00 kcal/mol of atoms
! DOS at the Fermi energy   2.6 states/eV/cell
&SYSTEM
  ibrav = 0, nat = 5, ntyp = 4
/
ATOMIC_SPECIES
S 32.06 S.upf
Pd 106.42 Pd.upf
N 14.01 N.upf
Re 186.21 Re.upf
CELL_PARAMETERS angstrom
-1.7130 4.4253 -0.1024
-4.3941 -1.6868 0.6125
0.4191 0.2476 3.6880
ATOMIC_POSITIONS crystal
S 0.0000 0.5000 0.0000
S 0.5000 0.0000 0.0000
Pd 0.5000 0.5000 0.5000
N 0.0000 0.0000 0.5000
Re 0.0000 0.0000 0.0000

***

Entry 16:
! DyTcAs2, optimized geometry, DFT PBE; values from VASP
! E_tot   -0.494 Ry/atom
! Mass density   9.05 g cm⁻³
! Symmetry   R-3m (166)
! Formation energy from the elements   -657 meV/atom
! Energy above the most stable polymorph in this dataset   0.00 kcal/mol of atoms
! DOS at the Fermi energy   1.6 states/eV/cell
&SYSTEM
  ibrav = 0, nat = 4, ntyp = 3
/
ATOMIC_SPECIES
Dy 162.50 Dy.upf
As 74.92 As.upf
Tc 98.00 Tc.upf
CELL_PARAMETERS angstrom
-3.6744 -0.4346 2.1464
-3.3351 -1.9455 -1.8410
-0.8447 -4.9673 1.8103
ATOMIC_POSITIONS crystal
Dy 0.5000 0.5000 0.5000
As 0.2773 0.2773 0.1681
As 0.7227 0.7227 0.8319
Tc 0.0000 0.0000 0.0000

***

Entry 17:
! Er5TmPt6, optimized geometry, DFT PBE; values from VASP
! E_tot   -0.482 Ry/atom
! Mass density   14.53 g cm⁻³
! Symmetry   Immm (71)
! Formation energy from the elements   -1268 meV/atom
! DOS at the Fermi energy   6.7 states/eV/cell
&SYSTEM
  ibrav = 0, nat = 12, ntyp = 3
/
ATOMIC_SPECIES
Pt 195.08 Pt.upf
Er 167.26 Er.upf
Tm 168.93 Tm.upf
CELL_PARAMETERS angstrom
4.8389 -0.3103 0.7916
-0.0188 6.3606 2.6081
1.1312 0.2706 8.4078
ATOMIC_POSITIONS crystal
Pt 0.1661 0.4155 0.6679
Pt 0.8340 0.0834 0.3321
Pt 0.1660 0.9166 0.6679
Pt 0.8339 0.5845 0.3321
Pt 0.5001 0.7512 0.0000
Pt 0.4999 0.2488 0.0000
Er 0.6665 0.1667 0.6667
Er 0.3333 0.3334 0.3332
Er 0.6667 0.6666 0.6668
Er 0.0000 0.5000 0.0000
Er 0.3335 0.8333 0.3333
Tm 0.0000 0.0000 0.0000

***

Entry 18:
! CsLi2La2, optimized geometry, DFT PBE; values from VASP
! E_tot   -0.190 Ry/atom
! Mass density   3.84 g cm⁻³
! Symmetry   P4/mbm (127)
! Formation energy from the elements   328 meV/atom
! Energy above the most stable polymorph in this dataset   0.00 kcal/mol of atoms
! DOS at the Fermi energy   11.8 states/eV/cell
&SYSTEM
  ibrav = 0, nat = 10, ntyp = 3
/
ATOMIC_SPECIES
Cs 132.91 Cs.upf
Li 6.94 Li.upf
La 138.91 La.upf
CELL_PARAMETERS angstrom
-1.9669 9.8348 -0.7565
-9.4596 -1.6621 2.9861
1.0081 0.4672 3.4536
ATOMIC_POSITIONS crystal
Cs 0.5000 0.5000 0.0000
Cs 0.0000 0.0000 0.0000
Li 0.6754 0.8246 0.5000
Li 0.3246 0.1754 0.5000
Li 0.8246 0.3246 0.5000
Li 0.1754 0.6754 0.5000
La 0.6077 0.1077 0.0000
La 0.8923 0.6077 0.0000
La 0.1077 0.3923 0.0000
La 0.3923 0.8923 0.0000

***

Entry 19:
! PrIn2I8, optimized geometry, DFT PBE; values from VASP
! E_tot   -0.207 Ry/atom
! Mass density   3.75 g cm⁻³
! Raw formation energy   -0.75 eV per atom
! Symmetry   C2/m (12)
! DOS at the Fermi energy   4.7 states/eV/cell
&SYSTEM
  ibrav = 0, nat = 11, ntyp = 3
/
ATOMIC_SPECIES
I 126.90 I.upf
In 114.82 In.upf
Pr 140.91 Pr.upf
CELL_PARAMETERS angstrom
-2.1299 -1.6099 -7.0907
8.3168 -0.1723 -3.9414
2.1066 -8.9604 -0.0808
ATOMIC_POSITIONS crystal
I 0.1523 0.3911 0.3911
I 0.7802 0.7201 0.0962
I 0.2198 0.2799 0.9038
I 0.2198 0.9038 0.2799
I 0.8477 0.6089 0.6089
I 0.2806 0.8048 0.8048
I 0.7802 0.0962 0.7201
I 0.7194 0.1952 0.1952
In 0.3299 0.2048 0.2048
In 0.6701 0.7952 0.7952
Pr 0.0000 0.0000 0.0000

***

Entry 20:
! InGe2P2, optimized geometry, DFT PBE; values from VASP
! E_tot   -0.316 Ry/atom
! Mass density   4.65 g cm⁻³
! Symmetry   I4/mmm (139)
! Formation energy from the elements   263 meV/atom
! Energy above the most stable polymorph in this dataset   1.57 kcal/mol of atoms
! DOS at the Fermi energy   2.1 states/eV/cell
&SYSTEM
  ibrav = 0, nat = 5, ntyp = 3
/
ATOMIC_SPECIES
P 30.97 P.upf
Ge 72.64 Ge.upf
In 114.82 In.upf
CELL_PARAMETERS angstrom
-4.0142 0.6983 -1.7738
1.3705 -1.8170 -3.8168
-3.0581 -5.7940 -0.9268
ATOMIC_POSITIONS crystal
P 0.3550 0.3550 0.2900
P 0.6450 0.6450 0.7100
Ge 0.2500 0.7500 0.5000
Ge 0.7500 0.2500 0.5000
In 0.0000 0.0000 0.0000